[1]
{
  "formula": "Zr2Sc7Pa",
  "functional": "PBE-GGA",
  "state": "relaxed",
  "delta_e_f_ev_per_atom": 0.163,
  "spacegroup": "No. 10",
  "lattice_angstrom": [[7.935, 0.000, 0.000], [0.000, 3.093, 0.000], [-3.825, 0.000, 9.959]],
  "species": ["Zr", "Zr", "Sc", "Sc", "Sc", "Sc", "Sc", "Sc", "Sc", "Pa"],
  "frac_coords": [[0.224, 0.000, 0.107], [0.776, 0.000, 0.893], [0.000, 0.000, 0.500], [0.098, 0.000, 0.810], [0.287, 0.500, 0.383], [0.403, 0.000, 0.692], [0.597, 0.000, 0.308], [0.713, 0.500, 0.617], [0.902, 0.000, 0.190], [0.500, 0.500, 0.000]]
}

***

[2]
{
  "formula": "CeHf2Pd",
  "functional": "PBE-GGA",
  "state": "relaxed",
  "polymorph_energy_mev_per_atom": 170,
  "delta_e_f_ev_per_atom": -0.081,
  "spacegroup": "No. 225",
  "lattice_angstrom": [[0.000, 3.426, 3.426], [3.426, 0.000, 3.426], [3.426, 3.426, 0.000]],
  "species": ["Ce", "Hf", "Hf", "Pd"],
  "frac_coords": [[0.000, 0.000, 0.000], [0.250, 0.250, 0.250], [0.750, 0.750, 0.750], [0.500, 0.500, 0.500]]
}

***

[3]
{
  "formula": "Na2HfTaO6",
  "functional": "PBE-GGA",
  "state": "relaxed",
  "raw_formation_energy_ev_per_atom": -2.577,
  "spacegroup": "No. 14",
  "lattice_angstrom": [[5.644, 0.000, 0.000], [0.000, 5.703, 0.000], [-5.641, 0.000, 8.025]],
  "species": ["Na", "Na", "Na", "Na", "Hf", "Hf", "Ta", "Ta", "O", "O", "O", "O", "O", "O", "O", "O", "O", "O", "O", "O"],
  "frac_coords": [[0.247, 0.015, 0.250], [0.247, 0.485, 0.750], [0.753, 0.515, 0.250], [0.753, 0.985, 0.750], [0.500, 0.000, 0.000], [0.500, 0.500, 0.500], [0.000, 0.000, 0.500], [0.000, 0.500, 0.000], [0.184, 0.225, 0.970], [0.184, 0.275, 0.470], [0.246, 0.715, 0.971], [0.246, 0.785, 0.471], [0.303, 0.011, 0.745], [0.303, 0.489, 0.245], [0.697, 0.511, 0.755], [0.697, 0.989, 0.255], [0.754, 0.215, 0.529], [0.754, 0.285, 0.029], [0.816, 0.725, 0.530], [0.816, 0.775, 0.030]]
}

***

[4]
{
  "formula": "RbAlAs3",
  "functional": "PBE-GGA",
  "state": "relaxed",
  "polymorph_energy_mev_per_atom": 1559,
  "delta_e_f_ev_per_atom": 1.716,
  "spacegroup": "No. 221",
  "lattice_angstrom": [[5.656, 0.000, 0.000], [0.000, 5.656, 0.000], [0.000, 0.000, 5.656]],
  "species": ["Rb", "Al", "As", "As", "As"],
  "frac_coords": [[0.000, 0.000, 0.000], [0.500, 0.500, 0.500], [0.000, 0.000, 0.500], [0.000, 0.500, 0.000], [0.500, 0.000, 0.000]]
}

***

[5]
{
  "formula": "LuGaRu2",
  "functional": "PBE-GGA",
  "state": "relaxed",
  "delta_e_f_ev_per_atom": -0.383,
  "spacegroup": "No. 123",
  "lattice_angstrom": [[4.401, 0.000, 0.000], [0.000, 4.401, 0.000], [0.000, 0.000, 3.320]],
  "species": ["Lu", "Ga", "Ru", "Ru"],
  "frac_coords": [[0.000, 0.000, 0.000], [0.500, 0.500, 0.000], [0.000, 0.500, 0.500], [0.500, 0.000, 0.500]]
}

***

[6]
{
  "formula": "BaInRu2",
  "functional": "PBE-GGA",
  "state": "relaxed",
  "delta_e_f_ev_per_atom": 0.281,
  "spacegroup": "No. 6",
  "lattice_angstrom": [[3.025, 0.000, 0.000], [0.000, 3.678, 0.000], [-0.027, 0.000, 8.054]],
  "species": ["Ba", "In", "Ru", "Ru"],
  "frac_coords": [[0.000, 0.000, 0.000], [0.499, 0.500, 0.657], [0.496, 0.500, 0.307], [0.997, 0.000, 0.436]]
}